The following is a DFT calculation (PBE-GGA) of crystalline Y5Pb3 at its relaxed geometry.

Properties
Its spin magnetization is 0.00 μB/f.u. The calculation puts the energy of formation at -0.59 eV/atom. The crystal system is hexagonal. The value obtained for the total energy is -6.02 eV/atom.

abc: 9.0701 9.0701 6.6467
angles: 90.00 90.00 120.00
Closest atoms and distances in Å follow each position.
Fractional coordinates of all 16 atoms:
Pb  0.6054  0.6054  0.7500  7 Y 3.12-3.34
Pb  0.0000  0.3946  0.7500  7 Y 3.12-3.34
Pb  0.0000  0.6054  0.2500  7 Y 3.12-3.34
Pb  0.3946  0.0000  0.7500  7 Y 3.12-3.34
Pb  0.6054  0.0000  0.2500  7 Y 3.12-3.34
Pb  0.3946  0.3946  0.2500  7 Y 3.12-3.34
Y  0.3333  0.6667  0.5000  6 Pb 3.25, 2 Y 3.32
Y  0.3333  0.6667  0.0000  6 Pb 3.25, 2 Y 3.32
Y  0.0000  0.7627  0.7500  3 Pb 3.12-3.34
Y  0.0000  0.2373  0.2500  3 Pb 3.12-3.34
Y  0.6667  0.3333  0.5000  6 Pb 3.25, 2 Y 3.32
Y  0.2373  0.0000  0.2500  3 Pb 3.12-3.34
Y  0.7627  0.0000  0.7500  3 Pb 3.12-3.34
Y  0.7627  0.7627  0.2500  3 Pb 3.12-3.34
Y  0.2373  0.2373  0.7500  3 Pb 3.12-3.34
Y  0.6667  0.3333  0.0000  6 Pb 3.25, 2 Y 3.32